Density functional theory data (PBE) for Nd2HoEr2Tm2 after structural relaxation.

Computed properties:
The calculation puts the total energy at -0.332 Ry per atom. The formation energy is 8.4 kJ per mole of atoms.

Unit cell a=11.655 b=3.496 c=11.749 alpha=90.00 beta=109.07 gamma=90.00
Space group C2/m (No. 12)
Unique sites:
Nd  0.172  0.000  0.086 (multiplicity 4)
Ho  0.000  0.500  0.500 (multiplicity 2)
Er  0.049  0.000  0.768 (multiplicity 4)
Tm  0.227  0.500  0.365 (multiplicity 4)